[1]
A plane-wave DFT calculation with PBE with a Hubbard U was carried out for crystalline Li2FeP2O7 at its relaxed geometry.

Cell: 7.8106 7.8106 5.0684 Å, 90.00 90.00 91.08°
Closest atoms and distances in Å follow each position.
Positions (direct):
Li 0.2265 0.7735 0.0000  1 O 1.91
Li 0.2764 0.2764 0.0703  3 O 1.92-2.15
Li 0.7236 0.7236 0.0703  3 O 1.92-2.15
Li 0.7735 0.2265 0.0000  1 O 1.91
Fe 0.0000 0.5000 0.5369  4 O 2.04-2.05
Fe 0.5000 0.0000 0.5369  4 O 2.04-2.05
P 0.1412 0.1412 0.6325  4 O 1.50-1.62
P 0.3605 0.6395 0.4331  4 O 1.50-1.61
P 0.6395 0.3605 0.4331  4 O 1.50-1.61
P 0.8588 0.8588 0.6325  4 O 1.50-1.62
O 0.0000 0.0000 0.7282  2 P 1.62
O 0.0841 0.3073 0.7721  1 P 1.55
O 0.1517 0.1517 0.3369  1 P 1.50
O 0.1959 0.5752 0.2905  1 P 1.55
O 0.3073 0.0841 0.7721  1 P 1.55
O 0.3451 0.6549 0.7279  1 P 1.50
O 0.4248 0.8041 0.2905  1 P 1.55
O 0.5000 0.5000 0.3483  2 P 1.61
O 0.5752 0.1959 0.2905  1 P 1.55
O 0.6549 0.3451 0.7279  1 P 1.50
O 0.6927 0.9159 0.7721  1 P 1.55
O 0.8041 0.4248 0.2905  1 P 1.55
O 0.8483 0.8483 0.3369  1 P 1.50
O 0.9159 0.6927 0.7721  1 P 1.55

Its distance to the lowest polymorph of the same formula is 73 meV per atom. For the mass density, the calculation gives 2.62 Mg/m³. Its space group is Cmm2.

[2]
A plane-wave DFT calculation with PBE with a Hubbard U was carried out for crystalline LiFeP2O7 at its relaxed geometry.

Cell: 5.4051 5.4051 9.3530 Å, 101.99 101.99 99.71°
Closest atoms and distances in Å follow each position.
Positions (direct):
Li 0.1864 0.8136 0.5000  5 O 1.95-2.17
Li 0.8136 0.1864 0.0000  5 O 1.95-2.17
Fe 0.2610 0.9026 0.9550  5 O 1.94-1.99
Fe 0.9026 0.2610 0.4550  5 O 1.94-1.99
P 0.3327 0.3482 0.2670  4 O 1.52-1.59
P 0.3482 0.3327 0.7670  4 O 1.52-1.59
P 0.7116 0.7428 0.1829  4 O 1.49-1.64
P 0.7428 0.7116 0.6829  4 O 1.49-1.64
O 0.1460 0.4348 0.3614  1 P 1.54
O 0.1496 0.1784 0.6182  1 P 1.54
O 0.1784 0.1496 0.1182  1 P 1.54
O 0.2470 0.5440 0.8571  1 P 1.52
O 0.4348 0.1460 0.8614  1 P 1.54
O 0.4505 0.6070 0.2255  2 P 1.59-1.64
O 0.5440 0.2470 0.3571  1 P 1.52
O 0.5442 0.8278 0.6007  1 P 1.49
O 0.6052 0.9243 0.0892  1 P 1.55
O 0.6070 0.4505 0.7255  2 P 1.59-1.64
O 0.8278 0.5442 0.1007  1 P 1.49
O 0.8920 0.9073 0.3373  1 P 1.55
O 0.9073 0.8920 0.8373  1 P 1.55
O 0.9243 0.6052 0.5892  1 P 1.55

Its distance to the lowest polymorph of the same formula is 36 meV per atom. For the mass density, the calculation gives 3.08 Mg/m³. Its space group is Cc.

[3]
A plane-wave DFT calculation with PBE with a Hubbard U was carried out for crystalline LiFeP2O7 at its relaxed geometry.

Cell: 4.9051 8.2466 7.0220 Å, 90.00 108.63 90.00°
Closest atoms and distances in Å follow each position.
Positions (direct):
Li 0.1772 0.0000 0.1661  4 O 1.97-2.08
Li 0.8228 0.5000 0.8339  4 O 1.97-2.08
Fe 0.2151 0.3594 0.2326  6 O 1.97-2.09
Fe 0.7849 0.8594 0.7674  6 O 1.97-2.09
P 0.2184 0.0749 0.5841  4 O 1.52-1.62
P 0.3981 0.6788 0.0239  4 O 1.53-1.62
P 0.6019 0.1788 0.9761  4 O 1.53-1.62
P 0.7816 0.5749 0.4159  4 O 1.52-1.62
O 0.0447 0.5309 0.3575  1 P 1.52
O 0.1392 0.1635 0.3818  1 P 1.53
O 0.1847 0.8202 0.9832  1 P 1.53
O 0.2463 0.5142 0.0119  1 P 1.54
O 0.4020 0.1806 0.1045  1 P 1.53
O 0.4058 0.2070 0.7445  2 P 1.62
O 0.4072 0.9270 0.5826  1 P 1.53
O 0.5928 0.4270 0.4174  1 P 1.53
O 0.5942 0.7070 0.2555  2 P 1.62
O 0.5980 0.6806 0.8955  1 P 1.53
O 0.7537 0.0142 0.9881  1 P 1.54
O 0.8153 0.3202 0.0168  1 P 1.53
O 0.8608 0.6635 0.6182  1 P 1.53
O 0.9553 0.0309 0.6425  1 P 1.52

Its distance to the lowest polymorph of the same formula is 0 meV per atom. For the mass density, the calculation gives 2.92 Mg/m³. Its space group is P2_1.

[4]
A plane-wave DFT calculation with PBE with a Hubbard U was carried out for crystalline Li4Fe3SbP4O16 at its relaxed geometry.

Cell: 4.7841 6.1751 11.1227 Å, 90.00 94.64 90.00°
Closest atoms and distances in Å follow each position.
Positions (direct):
Li 0.0000 0.2417 0.0000  5 O 2.05-2.28
Li 0.0000 0.7583 0.0000  5 O 2.05-2.28
Li 0.5681 0.2553 0.4643  6 O 2.07-2.26
Li 0.5681 0.7447 0.4643  6 O 2.07-2.26
Fe 0.0605 0.5000 0.2656  6 O 2.10-2.30
Fe 0.0873 0.0000 0.6664  5 O 2.08-2.31
Fe 0.5514 0.0000 0.2015  6 O 2.11-2.28
Sb 0.5165 0.5000 0.7680  3 O 2.23
P 0.0005 0.5000 0.5491  4 O 1.54-1.57
P 0.1375 0.0000 0.3753  4 O 1.54-1.57
P 0.4439 0.0000 0.9027  4 O 1.52-1.58
P 0.5829 0.5000 0.0908  4 O 1.54-1.57
O 0.2556 0.1997 0.3074  1 P 1.57
O 0.2556 0.8003 0.3074  1 P 1.57
O 0.2612 0.5000 0.0887  1 P 1.54
O 0.2900 0.0000 0.5048  1 P 1.56
O 0.3089 0.0000 0.0254  1 P 1.56
O 0.3158 0.1934 0.8230  1 P 1.58
O 0.3158 0.8066 0.8230  1 P 1.58
O 0.3202 0.5000 0.5381  1 P 1.54
O 0.6876 0.5000 0.9609  1 P 1.57
O 0.7264 0.2989 0.1553  1 P 1.57
O 0.7264 0.7011 0.1553  1 P 1.57
O 0.7625 0.0000 0.9172  1 P 1.52
O 0.8161 0.0000 0.3735  1 P 1.54
O 0.8382 0.5000 0.4209  1 P 1.57
O 0.8968 0.2911 0.6130  1 P 1.57
O 0.8968 0.7089 0.6130  1 P 1.57

For the mass density, the calculation gives 3.53 Mg/m³. As for the total energy: -6.65 eV per atom. Its space group is Pm.

[5]
A plane-wave DFT calculation with PBE with a Hubbard U was carried out for crystalline Li7Fe3SbP6O24 at its relaxed geometry.

Cell: 9.0953 9.0953 9.0953 Å, 56.32 56.32 56.32°
Closest atoms and distances in Å follow each position.
Positions (direct):
Li 0.0000 0.0000 0.0000  3 O 1.99
Li 0.0493 0.6878 0.3330  3 O 1.93-1.98
Li 0.2464 0.5323 0.8062  3 O 1.91-2.14
Li 0.3330 0.0493 0.6878  3 O 1.93-1.98
Li 0.5323 0.8062 0.2464  3 O 1.91-2.14
Li 0.6878 0.3330 0.0493  3 O 1.93-1.98
Li 0.8062 0.2464 0.5323  3 O 1.91-2.14
Fe 0.1219 0.1219 0.1219  6 O 2.11-2.24
Fe 0.3191 0.3191 0.3191  6 O 2.03-2.04
Fe 0.6356 0.6356 0.6356  6 O 2.03-2.05
Sb 0.8248 0.8248 0.8248  6 O 2.22-2.37
P 0.0338 0.4106 0.7279  4 O 1.54-1.57
P 0.2375 0.9286 0.5180  4 O 1.52-1.58
P 0.4106 0.7279 0.0338  4 O 1.54-1.57
P 0.5180 0.2375 0.9286  4 O 1.52-1.58
P 0.7279 0.0338 0.4106  4 O 1.54-1.57
P 0.9286 0.5180 0.2375  4 O 1.52-1.58
O 0.0505 0.5336 0.7810  1 P 1.54
O 0.1077 0.8328 0.7196  1 P 1.58
O 0.1145 0.1981 0.8448  1 P 1.55
O 0.1220 0.5124 0.1958  1 P 1.56
O 0.1458 0.4492 0.5134  1 P 1.55
O 0.1958 0.1220 0.5124  1 P 1.56
O 0.1981 0.8448 0.1145  1 P 1.55
O 0.2139 0.9478 0.3541  1 P 1.52
O 0.3541 0.2139 0.9478  1 P 1.52
O 0.4469 0.7970 0.5026  1 P 1.56
O 0.4492 0.5134 0.1458  1 P 1.55
O 0.4609 0.7793 0.8198  1 P 1.57
O 0.5026 0.4469 0.7970  1 P 1.56
O 0.5124 0.1958 0.1221  1 P 1.56
O 0.5134 0.1458 0.4492  1 P 1.55
O 0.5336 0.7810 0.0505  1 P 1.54
O 0.7196 0.1077 0.8328  1 P 1.58
O 0.7793 0.8198 0.4609  1 P 1.57
O 0.7810 0.0505 0.5336  1 P 1.54
O 0.7970 0.5026 0.4469  1 P 1.56
O 0.8198 0.4609 0.7793  1 P 1.57
O 0.8328 0.7196 0.1077  1 P 1.58
O 0.8448 0.1145 0.1981  1 P 1.55
O 0.9478 0.3541 0.2139  1 P 1.52

For the mass density, the calculation gives 3.10 Mg/m³. As for the total energy: -6.61 eV per atom. Its space group is R3.

mass density of number 1 (Li2FeP2O7)? 2.62 Mg/m³